Entry 1:
# TbHgBr3 PBE-GGA relaxed
# - polymorph energy (0 for the lowest one) (eV per atom) = 0.000
data_TbHgBr3
_cell_length_a 7.833
_cell_length_b 7.456
_cell_length_c 7.456
_cell_angle_alpha 66.92
_cell_angle_beta 72.14
_cell_angle_gamma 72.14
_symmetry_space_group_name_H-M 'P 1'
_symmetry_Int_Tables_number 1
loop_
_symmetry_equiv_pos_as_xyz
'x,y,z'
loop_
_atom_site_label
_atom_site_fract_x
_atom_site_fract_y
_atom_site_fract_z
Br1 0.756 0.041 0.041
Br2 0.767 0.978 0.545
Br3 0.233 0.455 0.022
Br4 0.233 0.022 0.455
Tb1 0.983 0.183 0.183
Br5 0.244 0.959 0.959
Hg1 0.200 0.518 0.518
Br6 0.767 0.545 0.978
Tb2 0.017 0.817 0.817
Hg2 0.800 0.482 0.482

***

Entry 2:
# MnPAuSN PBE-GGA relaxed
# - polymorph energy (0 for the lowest one) (eV per atom) = 0.000
data_MnPAuSN
_cell_length_a 3.851
_cell_length_b 2.831
_cell_length_c 7.467
_cell_angle_alpha 90.00
_cell_angle_beta 96.23
_cell_angle_gamma 90.00
_symmetry_space_group_name_H-M 'P 1'
_symmetry_Int_Tables_number 1
loop_
_symmetry_equiv_pos_as_xyz
'x,y,z'
loop_
_atom_site_label
_atom_site_fract_x
_atom_site_fract_y
_atom_site_fract_z
N1 0.485 0.500 0.014
P1 0.319 0.000 0.122
Mn1 0.947 0.500 0.920
S1 0.947 0.000 0.694
Au1 0.548 0.000 0.425

***

Entry 3:
Compound: Er2ScTaN4
Source: Alexandria
Functional: PBE-GGA
Structure: relaxed

CIF file:
```
data_Er2ScTaN4
_cell_length_a 3.258
_cell_length_b 5.649
_cell_length_c 5.687
_cell_angle_alpha 109.13
_cell_angle_beta 90.00
_cell_angle_gamma 90.00
_symmetry_space_group_name_H-M 'P 1'
_symmetry_Int_Tables_number 1
loop_
_symmetry_equiv_pos_as_xyz
'x,y,z'
loop_
_atom_site_label
_atom_site_fract_x
_atom_site_fract_y
_atom_site_fract_z
N1 0.500 0.237 0.228
N2 0.000 0.753 0.229
Er1 0.000 0.500 0.500
Sc1 0.500 0.500 0.000
Ta1 0.000 0.000 0.000
N3 0.000 0.247 0.771
Er2 0.500 0.000 0.500
N4 0.500 0.763 0.772
```

***

Entry 4:
Compound: Tb6Si2TeSe3
Source: Alexandria
Functional: PBE-GGA
Structure: relaxed

CIF file:
```
data_Tb6Si2TeSe3
_cell_length_a 4.161
_cell_length_b 8.404
_cell_length_c 9.312
_cell_angle_alpha 102.40
_cell_angle_beta 102.91
_cell_angle_gamma 90.00
_symmetry_space_group_name_H-M 'P 1'
_symmetry_Int_Tables_number 1
loop_
_symmetry_equiv_pos_as_xyz
'x,y,z'
loop_
_atom_site_label
_atom_site_fract_x
_atom_site_fract_y
_atom_site_fract_z
Tb1 0.330 0.423 0.659
Te1 0.500 0.000 0.000
Si1 0.832 0.664 0.665
Si2 0.168 0.336 0.335
Se1 0.162 0.837 0.325
Tb2 0.008 0.271 0.017
Tb3 0.670 0.577 0.341
Tb4 0.992 0.729 0.983
Tb5 0.673 0.106 0.347
Se2 0.838 0.163 0.675
Se3 0.500 0.500 0.000
Tb6 0.327 0.894 0.653
```

***

Entry 5:
Compound: GaTcTe2
Source: Alexandria
Functional: PBE-GGA
Structure: relaxed

CIF file:
```
data_GaTcTe2
_cell_length_a 6.329
_cell_length_b 6.329
_cell_length_c 7.484
_cell_angle_alpha 64.98
_cell_angle_beta 64.98
_cell_angle_gamma 90.00
_symmetry_space_group_name_H-M 'P 1'
_symmetry_Int_Tables_number 1
loop_
_symmetry_equiv_pos_as_xyz
'x,y,z'
loop_
_atom_site_label
_atom_site_fract_x
_atom_site_fract_y
_atom_site_fract_z
Te1 0.375 0.342 0.750
Ga1 0.250 0.750 0.500
Te2 0.875 0.908 0.750
Te3 0.092 0.625 0.250
Tc1 0.750 0.250 0.500
Ga2 0.500 0.500 0.000
Te4 0.658 0.125 0.250
Tc2 0.000 0.000 0.000
```

***

Entry 6:
# TiSnSb2I PBE-GGA relaxed
# - polymorph energy (0 for the lowest one) (eV per atom) = 0.840
data_TiSnSb2I
_cell_length_a 5.614
_cell_length_b 5.614
_cell_length_c 5.757
_cell_angle_alpha 90.00
_cell_angle_beta 90.00
_cell_angle_gamma 90.00
_symmetry_space_group_name_H-M 'P 1'
_symmetry_Int_Tables_number 1
loop_
_symmetry_equiv_pos_as_xyz
'x,y,z'
loop_
_atom_site_label
_atom_site_fract_x
_atom_site_fract_y
_atom_site_fract_z
Sb1 0.000 0.500 0.000
Sb2 0.500 0.000 0.000
Sn1 0.000 0.000 0.000
Ti1 0.500 0.500 0.500
I1 0.000 0.000 0.500

***

no.,formation energy without anion corrections (eV/atom)
1,-1.435
2,-0.096
3,-1.663
4,-1.426
5,0.223
6,1.028